Compound: HfBe6
Source: Alexandria via LeMat-Bulk
Functional: PBE
Structure: relaxed

Computed properties:
Energy relative to the elements (eV per atom): -0.151

a = 7.2019 Å, b = 4.2779 Å, c = 9.0090 Å
α = 90.00°, β = 90.00°, γ = 90.00°
Closest atoms and distances in Å follow each position.
Atoms (fractional coordinates):
Hf 0.2302 0.2500 0.0584  11 Be 2.50-2.80
Hf 0.2698 0.7500 0.5584  11 Be 2.50-2.80
Hf 0.7302 0.2500 0.4416  11 Be 2.50-2.80
Hf 0.7698 0.7500 0.9416  11 Be 2.50-2.80
Be 0.0463 0.7500 0.1098  4 Be 2.12-2.21
Be 0.0627 0.0057 0.3116  7 Be 2.09-2.24
Be 0.0627 0.4943 0.3116  7 Be 2.09-2.24
Be 0.0755 0.2500 0.5190  5 Be 2.12-2.21
Be 0.1450 0.7500 0.8527  10 Be 2.35-2.57
Be 0.1996 0.2500 0.7431  7 Be 2.12-2.24
Be 0.3004 0.7500 0.2431  7 Be 2.12-2.24
Be 0.3550 0.2500 0.3527  10 Be 2.35-2.57
Be 0.4245 0.7500 0.0190  5 Be 2.12-2.21
Be 0.4373 0.5057 0.8116  7 Be 2.09-2.24
Be 0.4373 0.9943 0.8116  7 Be 2.09-2.24
Be 0.4537 0.2500 0.6098  4 Be 2.12-2.21
Be 0.5463 0.7500 0.3902  4 Be 2.12-2.21
Be 0.5627 0.0057 0.1884  7 Be 2.09-2.24
Be 0.5627 0.4943 0.1884  7 Be 2.09-2.24
Be 0.5755 0.2500 0.9810  5 Be 2.12-2.21
Be 0.6450 0.7500 0.6473  10 Be 2.35-2.57
Be 0.6996 0.2500 0.7569  7 Be 2.12-2.24
Be 0.8004 0.7500 0.2569  7 Be 2.12-2.24
Be 0.8550 0.2500 0.1473  10 Be 2.35-2.57
Be 0.9245 0.7500 0.4810  5 Be 2.12-2.21
Be 0.9373 0.5057 0.6884  7 Be 2.09-2.24
Be 0.9373 0.9943 0.6884  7 Be 2.09-2.24
Be 0.9537 0.2500 0.8902  4 Be 2.12-2.21